Na2SmHg8: relaxed, PBE-GGA.

Cell lengths 4.9753, 7.3534, 8.4613 Å; angles 108.80, 107.10, 90.00 degrees
Sites, in units of the cell vectors:
1 Na 0.2197 0.6477 0.4393
2 Na 0.7803 0.3523 0.5607
3 Sm 0.5000 0.0000 0.0000
4 Hg 0.5977 0.4550 0.1954
5 Hg 0.9783 0.2806 0.9565
6 Hg 0.3274 0.1112 0.6547
7 Hg 0.6726 0.8888 0.3453
8 Hg 0.8513 0.8435 0.7026
9 Hg 0.1487 0.1565 0.2974
10 Hg 0.4023 0.5450 0.8046
11 Hg 0.0217 0.7194 0.0435

Results
- VASP energy: -1.1270 eV/atom
- Energy relative to the elements: -239 meV/atom
- SG: C2/m (12)